This record from the Alexandria database describes Tb5Pr3Sc after structural relaxation. The functional is PBE-GGA.

The structure in POSCAR format:
```
Tb5Pr3Sc
1.0
9.0441 1.6374 1.2012
4.0507 8.2503 1.2012
5.1709 3.9045 10.2490
Tb Sc Pr
10 2 6
Cartesian
8.7779 4.5973 8.6582
10.2870 7.7676 7.2804
8.6869 6.5594 2.0411
9.5788 7.2329 10.6103
7.9787 6.0246 5.3710
7.4518 3.7462 1.2012
11.4410 6.6082 3.9932
6.8247 7.1841 8.6582
5.6430 6.1416 1.2012
9.4877 9.1949 3.9932
16.1061 12.1616 11.1668
2.1596 1.6307 1.4846
5.4566 4.1202 3.8185
0.0000 0.0000 0.0000
12.8091 9.6720 8.8329
12.9842 9.8042 5.6296
2.5854 1.9522 5.1245
5.2815 3.9880 7.0219
```

**Crystal system**: monoclinic
**Energy of formation from the pure elements**: 38.3 kJ per mole of atoms
**DOS at the Fermi energy**: 1.32 states/eV/atom